[1]
The following is a DFT calculation (PBE-GGA) of an optimized crystal structure of Na2AlSe.

Calculated values
Its uncorrected formation energy is -197 meV per atom. The calculated density comes out at 2.58 g/cm3. The calculation puts the volume at 98 Å³/f.u. Its crystal system is cubic.

POSCAR file:
```
Na2AlSe
1.0
7.312 0.000 0.000
0.000 7.312 0.000
0.000 0.000 7.312
Na Al Se
8 4 4
Cartesian
1.828 1.828 1.828
1.828 1.828 5.484
1.828 5.484 1.828
1.828 5.484 5.484
5.484 1.828 1.828
5.484 1.828 5.484
5.484 5.484 1.828
5.484 5.484 5.484
0.000 0.000 0.000
0.000 3.656 3.656
3.656 0.000 3.656
3.656 3.656 0.000
0.000 0.000 3.656
0.000 3.656 0.000
3.656 0.000 0.000
3.656 3.656 3.656
```

***

[2]
The following is a DFT calculation (PBE-GGA) of an optimized crystal structure of NaAlSe2.

Calculated values
Its uncorrected formation energy is -1040 meV per atom. The calculated density comes out at 3.13 g/cm3. The calculation puts the volume at 110 Å³/f.u. Its crystal system is orthorhombic.

POSCAR file:
```
NaAlSe2
1.0
6.966 0.000 0.000
0.000 9.381 0.000
0.000 0.000 6.750
Na Al Se
4 4 8
Cartesian
0.493 1.105 0.000
2.990 5.796 3.375
3.976 3.586 0.000
6.472 8.276 3.375
0.428 5.874 6.584
3.055 1.183 3.209
3.911 8.198 6.584
6.538 3.508 3.209
0.229 5.603 4.192
0.733 1.490 3.847
2.749 6.181 0.472
3.254 0.912 0.817
3.712 8.469 4.192
4.216 3.200 3.847
6.232 7.891 0.472
6.737 3.779 0.817
```

***

[3]
The following is a DFT calculation (PBE-GGA) of an optimized crystal structure of NaAlSe2.

Calculated values
Its uncorrected formation energy is -912 meV per atom. The calculated density comes out at 3.37 g/cm3. The calculation puts the volume at 102 Å³/f.u. Its crystal system is orthorhombic.

POSCAR file:
```
NaAlSe2
1.0
7.571 0.000 0.000
0.000 3.665 0.000
0.000 0.000 14.769
Na Al Se
4 4 8
Cartesian
0.646 0.916 1.774
3.139 2.749 9.159
4.432 0.916 5.610
6.925 2.749 12.995
0.136 2.749 5.912
3.650 0.916 13.297
3.922 2.749 1.472
7.436 0.916 8.857
0.523 2.749 10.352
1.646 0.916 7.090
2.140 2.749 14.475
3.263 0.916 2.967
4.309 2.749 11.802
5.432 0.916 0.294
5.926 2.749 7.679
7.048 0.916 4.417
```

***

[4]
The following is a DFT calculation (PBE-GGA) of an optimized crystal structure of NaAlSe2.

Calculated values
Its uncorrected formation energy is -1038 meV per atom. The calculated density comes out at 3.36 g/cm3. The calculation puts the volume at 103 Å³/f.u. Its crystal system is monoclinic.

POSCAR file:
```
NaAlSe2
1.0
5.412 -5.412 0.000
5.412 5.412 0.000
-2.723 0.000 14.047
Na Al Se
8 8 16
Cartesian
3.359 3.383 8.699
0.663 0.667 12.260
3.381 3.383 12.372
2.025 -0.667 5.236
6.077 0.667 8.811
4.720 -3.383 1.675
7.439 -0.667 1.788
4.743 -3.383 5.349
3.397 3.366 4.891
3.398 0.696 2.130
6.066 3.366 2.133
2.036 -0.696 9.154
6.066 0.696 4.893
2.036 -3.366 11.915
4.704 -0.696 11.917
4.705 -3.366 9.156
1.938 2.032 3.510
4.732 4.828 3.512
0.669 0.680 7.728
4.729 2.033 0.651
2.031 -0.680 0.704
4.734 2.033 6.372
0.576 -2.032 10.534
3.370 0.761 10.536
4.732 -0.761 3.512
7.525 2.032 3.514
3.367 -2.033 7.675
6.071 0.680 13.343
3.373 -2.033 13.396
7.433 -0.680 6.320
3.370 -4.828 10.536
6.164 -2.032 10.538
```

***

[5]
The following is a DFT calculation (PBE-GGA) of an optimized crystal structure of NaAlSe2.

Calculated values
Its uncorrected formation energy is -704 meV per atom. The calculated density comes out at 3.08 g/cm3. The calculation puts the volume at 112 Å³/f.u. Its crystal system is orthorhombic.

POSCAR file:
```
NaAlSe2
1.0
4.268 0.000 0.000
0.000 21.179 0.000
0.000 0.000 4.965
Na Al Se
4 4 8
Cartesian
0.000 3.810 1.241
0.000 17.369 3.724
2.134 6.780 3.724
2.134 14.399 1.241
0.000 9.151 1.241
0.000 12.028 3.724
2.134 1.438 3.724
2.134 19.740 1.241
0.000 6.852 1.241
0.000 9.588 3.724
0.000 11.590 1.241
0.000 14.326 3.724
2.134 1.001 1.241
2.134 3.737 3.724
2.134 17.442 1.241
2.134 20.178 3.724
```

***

[6]
The following is a DFT calculation (PBE-GGA) of an optimized crystal structure of NaAlSe2.

Calculated values
Its uncorrected formation energy is -346 meV per atom. The calculated density comes out at 4.20 g/cm3. The calculation puts the volume at 82 Å³/f.u. Its crystal system is tetragonal.

POSCAR file:
```
NaAlSe2
1.0
5.246 0.000 0.000
0.000 5.246 0.000
0.000 0.000 2.988
Na Al Se
1 1 2
Cartesian
0.000 0.000 0.000
2.623 2.623 0.000
0.000 2.623 1.494
2.623 0.000 1.494
```